# 1
Tb3Er2Sc8 GGA-PBE optimized geometry; space group = C2/m
1.0
6.817 -4.320 0.000
6.817 4.320 0.000
-2.164 0.000 6.290
Tb Er Sc
3 2 8
Direct
0.000 0.000 0.000 Tb
0.183 0.817 0.500 Tb
0.817 0.183 0.500 Tb
0.233 0.233 0.426 Er
0.767 0.767 0.574 Er
0.195 0.195 0.897 Sc
0.196 0.562 0.841 Sc
0.430 0.430 0.254 Sc
0.438 0.804 0.159 Sc
0.562 0.196 0.841 Sc
0.570 0.570 0.746 Sc
0.804 0.438 0.159 Sc
0.805 0.805 0.103 Sc

# 2
Tb5Er2Sc5 GGA-PBE optimized geometry; space group = C2/m; energy above the most stable polymorph in this dataset = 0.38 eV/f.u.
1.0
5.772 -2.700 0.000
5.772 2.700 0.000
-3.778 0.000 10.922
Tb Er Sc
5 2 5
Direct
0.000 0.000 0.000 Tb
0.040 0.040 0.708 Tb
0.252 0.252 0.244 Tb
0.748 0.748 0.756 Tb
0.960 0.960 0.292 Tb
0.212 0.212 0.545 Er
0.788 0.788 0.455 Er
0.292 0.292 0.960 Sc
0.460 0.460 0.799 Sc
0.500 0.500 0.500 Sc
0.540 0.540 0.201 Sc
0.708 0.708 0.040 Sc

ΔH_f (0 K) values (in eV per atom) by entry order: 0.2531 0.0816.